# 1
This record from the Alexandria database describes crystalline Nd3SmY2P6 at its relaxed geometry. The functional is GGA-PBE.

Lattice parameters (Å, degrees): 7.115 7.115 7.113 99.59 99.59 119.99
Fractional coordinates of all 12 atoms:
Nd  0.000  0.000  0.000
Nd  0.334  0.666  0.000
Nd  0.666  0.334  0.000
Sm  0.500  0.500  0.500
Y  0.167  0.833  0.500
Y  0.833  0.167  0.500
P  0.083  0.419  0.257
P  0.245  0.245  0.743
P  0.419  0.083  0.257
P  0.581  0.917  0.743
P  0.755  0.755  0.257
P  0.917  0.581  0.743

Output
Energy ... -83.2 eV/cell



# 2
This record from the Alexandria database describes crystalline Nd2SmYP4 at its relaxed geometry. The functional is GGA-PBE.

Lattice parameters (Å, degrees): 7.125 4.117 7.126 90.00 109.46 90.00
Fractional coordinates of all 8 atoms:
Nd  0.000  0.000  0.000
Nd  0.000  0.500  0.500
Sm  0.500  0.000  0.500
Y  0.500  0.500  0.000
P  0.255  0.500  0.249
P  0.257  0.000  0.755
P  0.743  0.000  0.245
P  0.745  0.500  0.751

Output
Energy ... -54.9 eV/cell



# 3
This record from the Alexandria database describes crystalline Nd2SmY3P6 at its relaxed geometry. The functional is GGA-PBE.

Lattice parameters (Å, degrees): 7.071 7.071 7.067 99.59 99.59 119.99
Fractional coordinates of all 12 atoms:
Nd  0.167  0.833  0.000
Nd  0.833  0.167  0.000
Sm  0.500  0.500  0.000
Y  0.000  0.000  0.500
Y  0.333  0.667  0.500
Y  0.667  0.333  0.500
P  0.083  0.414  0.742
P  0.255  0.255  0.258
P  0.414  0.083  0.742
P  0.586  0.917  0.258
P  0.745  0.745  0.742
P  0.917  0.586  0.258

Output
Energy ... -85.1 eV/cell



# 4
This record from the Alexandria database describes crystalline NdSm3Y2P6 at its relaxed geometry. The functional is GGA-PBE.

Lattice parameters (Å, degrees): 7.079 7.079 7.081 99.59 99.59 120.00
Fractional coordinates of all 12 atoms:
Nd  0.000  0.000  0.000
Sm  0.166  0.834  0.500
Sm  0.500  0.500  0.500
Sm  0.834  0.166  0.500
Y  0.333  0.667  0.000
Y  0.667  0.333  0.000
P  0.083  0.421  0.248
P  0.256  0.256  0.753
P  0.421  0.083  0.248
P  0.579  0.917  0.752
P  0.744  0.744  0.247
P  0.917  0.579  0.752

Output
Energy ... -83.3 eV/cell



# 5
This record from the Alexandria database describes crystalline NdSm2ZrP4 at its relaxed geometry. The functional is GGA-PBE.

Lattice parameters (Å, degrees): 6.961 4.018 6.969 90.00 109.22 90.00
Fractional coordinates of all 8 atoms:
Nd  0.000  0.000  0.000
Sm  0.500  0.000  0.500
Sm  0.500  0.500  0.000
Zr  0.000  0.500  0.500
P  0.236  0.000  0.733
P  0.244  0.500  0.261
P  0.756  0.500  0.739
P  0.764  0.000  0.267

Output
Energy ... -56.3 eV/cell



# 6
This record from the Alexandria database describes crystalline Nd2SnP at its relaxed geometry. The functional is GGA-PBE.

Lattice parameters (Å, degrees): 8.222 8.222 8.222 28.98 28.98 28.98
Fractional coordinates of all 4 atoms:
Nd  0.237  0.237  0.237
Nd  0.763  0.763  0.763
Sn  0.000  0.000  0.000
P  0.500  0.500  0.500

Output
Energy relative to the lowest polymorph listed for this composition ... 46.6 meV/atom